No. 1
# Y2MgNiI

A PBEsol-optimized structure of Y2MgNiI (SCAN, Alexandria).

The crystal system is tetragonal.

It has space group P4/mmm (No. 123), with a = 5.605 Å, b = 5.605 Å, c = 4.546 Å, α = 90.00°, β = 90.00° and γ = 90.00°. The distinct sites, in fractional coordinates, are Y at (0.000, 0.500, 0.000), Mg at (0.000, 0.000, 0.500), Ni at (0.500, 0.500, 0.500) and I at (0.500, 0.500, 0.000).

***

No. 2
# MgI3O

A PBEsol-optimized structure of MgI3O (SCAN, Alexandria).

The crystal system is cubic.

It has space group Pm-3m (No. 221), with a = 5.054 Å, b = 5.054 Å, c = 5.054 Å, α = 90.00°, β = 90.00° and γ = 90.00°. The distinct sites, in fractional coordinates, are Mg at (0.000, 0.000, 0.000), I at (0.000, 0.500, 0.500) and O at (0.500, 0.500, 0.500).

***

No. 3
# MgOsI2O

A PBEsol-optimized structure of MgOsI2O (SCAN, Alexandria).

The crystal system is tetragonal.

It has space group P4/mmm (No. 123), with a = 5.554 Å, b = 5.554 Å, c = 3.723 Å, α = 90.00°, β = 90.00° and γ = 90.00°. The distinct sites, in fractional coordinates, are Mg at (0.000, 0.000, 0.000), Os at (0.500, 0.500, 0.500), I at (0.000, 0.500, 0.500) and O at (0.500, 0.500, 0.000).

***

No. 4
# MgPbI2O

A PBEsol-optimized structure of MgPbI2O (SCAN, Alexandria).

The crystal system is tetragonal.

It has space group P4/mmm (No. 123), with a = 5.810 Å, b = 5.810 Å, c = 3.792 Å, α = 90.00°, β = 90.00° and γ = 90.00°. The distinct sites, in fractional coordinates, are Mg at (0.000, 0.000, 0.000), Pb at (0.500, 0.500, 0.500), I at (0.000, 0.500, 0.000) and O at (0.000, 0.000, 0.500).

***

No. 5
# MgRhI2O

A PBEsol-optimized structure of MgRhI2O (SCAN, Alexandria).

The crystal system is tetragonal. The energy above the lowest structure with this stoichiometry is 0.0 meV per atom.

It has space group P4/mmm (No. 123), with a = 5.513 Å, b = 5.513 Å, c = 3.733 Å, α = 90.00°, β = 90.00° and γ = 90.00°. The distinct sites, in fractional coordinates, are Mg at (0.000, 0.000, 0.000), Rh at (0.500, 0.500, 0.500), I at (0.000, 0.500, 0.500) and O at (0.500, 0.500, 0.000).

***

No. 6
# MgRhI2O

A PBEsol-optimized structure of MgRhI2O (SCAN, Alexandria).

The crystal system is tetragonal. The energy above the lowest structure with this stoichiometry is 236.7 meV per atom.

It has space group P4/mmm (No. 123), with a = 5.465 Å, b = 5.465 Å, c = 3.579 Å, α = 90.00°, β = 90.00° and γ = 90.00°. The distinct sites, in fractional coordinates, are Mg at (0.000, 0.000, 0.000), Rh at (0.500, 0.500, 0.500), I at (0.000, 0.500, 0.000) and O at (0.000, 0.000, 0.500).

***

No. 7
# MgScI2O

A PBEsol-optimized structure of MgScI2O (SCAN, Alexandria).

The crystal system is tetragonal.

It has space group P4/mmm (No. 123), with a = 5.851 Å, b = 5.851 Å, c = 3.864 Å, α = 90.00°, β = 90.00° and γ = 90.00°. The distinct sites, in fractional coordinates, are Mg at (0.000, 0.000, 0.000), Sc at (0.500, 0.500, 0.500), I at (0.000, 0.500, 0.500) and O at (0.500, 0.500, 0.000).

***

No. 8
# MgSeI2O

A PBEsol-optimized structure of MgSeI2O (SCAN, Alexandria).

The crystal system is tetragonal.

It has space group P4/mmm (No. 123), with a = 5.828 Å, b = 5.828 Å, c = 3.815 Å, α = 90.00°, β = 90.00° and γ = 90.00°. The distinct sites, in fractional coordinates, are Mg at (0.000, 0.000, 0.000), Se at (0.500, 0.500, 0.500), I at (0.000, 0.500, 0.500) and O at (0.500, 0.500, 0.000).

***

No. 9
# MgSnIO2

A PBEsol-optimized structure of MgSnIO2 (SCAN, Alexandria).

The crystal system is tetragonal.

It has space group P4/mmm (No. 123), with a = 4.099 Å, b = 4.099 Å, c = 6.086 Å, α = 90.00°, β = 90.00° and γ = 90.00°. The distinct sites, in fractional coordinates, are Mg at (0.000, 0.000, 0.000), Sn at (0.500, 0.500, 0.500), I at (0.500, 0.500, 0.000) and O at (0.000, 0.500, 0.500).

***

No. 10
# MgTcI2O

A PBEsol-optimized structure of MgTcI2O (SCAN, Alexandria).

The crystal system is tetragonal.

It has space group P4/mmm (No. 123), with a = 5.647 Å, b = 5.647 Å, c = 3.690 Å, α = 90.00°, β = 90.00° and γ = 90.00°. The distinct sites, in fractional coordinates, are Mg at (0.000, 0.000, 0.000), Tc at (0.500, 0.500, 0.500), I at (0.000, 0.500, 0.000) and O at (0.000, 0.000, 0.500).

***

No. 11
# MgTcIO2

A PBEsol-optimized structure of MgTcIO2 (SCAN, Alexandria).

The crystal system is tetragonal.

It has space group P4/mmm (No. 123), with a = 3.883 Å, b = 3.883 Å, c = 5.680 Å, α = 90.00°, β = 90.00° and γ = 90.00°. The distinct sites, in fractional coordinates, are Mg at (0.000, 0.000, 0.000), Tc at (0.500, 0.500, 0.500), I at (0.500, 0.500, 0.000) and O at (0.000, 0.500, 0.500).

***

No. 12
# MgTe2IO

A PBEsol-optimized structure of MgTe2IO (SCAN, Alexandria).

The crystal system is tetragonal.

It has space group P4/mmm (No. 123), with a = 5.386 Å, b = 5.386 Å, c = 5.459 Å, α = 90.00°, β = 90.00° and γ = 90.00°. The distinct sites, in fractional coordinates, are Mg at (0.000, 0.000, 0.000), Te at (0.000, 0.500, 0.000), I at (0.000, 0.000, 0.500) and O at (0.500, 0.500, 0.500).

***

No. 13
# MgWIO2

A PBEsol-optimized structure of MgWIO2 (SCAN, Alexandria).

The crystal system is tetragonal.

It has space group P4/mmm (No. 123), with a = 3.939 Å, b = 3.939 Å, c = 5.358 Å, α = 90.00°, β = 90.00° and γ = 90.00°. The distinct sites, in fractional coordinates, are Mg at (0.000, 0.000, 0.000), W at (0.500, 0.500, 0.500), I at (0.000, 0.000, 0.500) and O at (0.000, 0.500, 0.000).

***

No. 14
# MgOs3I

A PBEsol-optimized structure of MgOs3I (SCAN, Alexandria).

The crystal system is cubic. The energy above the lowest structure with this stoichiometry is 0.0 meV per atom.

It has space group Pm-3m (No. 221), with a = 4.763 Å, b = 4.763 Å, c = 4.763 Å, α = 90.00°, β = 90.00° and γ = 90.00°. The distinct sites, in fractional coordinates, are Mg at (0.000, 0.000, 0.000), Os at (0.000, 0.500, 0.500) and I at (0.500, 0.500, 0.500).

***

No. 15
# MgSb2OsI

A PBEsol-optimized structure of MgSb2OsI (SCAN, Alexandria).

The crystal system is tetragonal.

It has space group P4/mmm (No. 123), with a = 5.249 Å, b = 5.249 Å, c = 5.230 Å, α = 90.00°, β = 90.00° and γ = 90.00°. The distinct sites, in fractional coordinates, are Mg at (0.000, 0.000, 0.000), Sb at (0.000, 0.500, 0.000), Os at (0.500, 0.500, 0.500) and I at (0.000, 0.000, 0.500).

***

No. 16
# Mg2PI2

A PBEsol-optimized structure of Mg2PI2 (SCAN, Alexandria).

The crystal system is tetragonal.

It has space group I4/mmm (No. 139), with a = 5.677 Å, b = 5.677 Å, c = 8.862 Å, α = 90.00°, β = 90.00° and γ = 90.00°. The distinct sites, in fractional coordinates, are Mg at (0.000, 0.500, 0.250), P at (0.000, 0.000, 0.000) and I at (0.000, 0.000, 0.315).

***

No. 17
# MgP3I

A PBEsol-optimized structure of MgP3I (SCAN, Alexandria).

The crystal system is cubic.

It has space group Pm-3m (No. 221), with a = 5.027 Å, b = 5.027 Å, c = 5.027 Å, α = 90.00°, β = 90.00° and γ = 90.00°. The distinct sites, in fractional coordinates, are Mg at (0.000, 0.000, 0.000), P at (0.000, 0.500, 0.500) and I at (0.500, 0.500, 0.500).

***

No. 18
# Mg3PI

A PBEsol-optimized structure of Mg3PI (SCAN, Alexandria).

The crystal system is cubic.

It has space group Pm-3m (No. 221), with a = 5.413 Å, b = 5.413 Å, c = 5.413 Å, α = 90.00°, β = 90.00° and γ = 90.00°. The distinct sites, in fractional coordinates, are Mg at (0.000, 0.000, 0.500), P at (0.500, 0.500, 0.500) and I at (0.000, 0.000, 0.000).

***

No. 19
# MgP2SI

A PBEsol-optimized structure of MgP2SI (SCAN, Alexandria).

The crystal system is tetragonal.

It has space group P4/mmm (No. 123), with a = 5.031 Å, b = 5.031 Å, c = 5.041 Å, α = 90.00°, β = 90.00° and γ = 90.00°. The distinct sites, in fractional coordinates, are Mg at (0.000, 0.000, 0.000), P at (0.000, 0.500, 0.500), S at (0.500, 0.500, 0.000) and I at (0.500, 0.500, 0.500).

***

No. 20
# MgSb2PbI

A PBEsol-optimized structure of MgSb2PbI (SCAN, Alexandria).

The crystal system is tetragonal.

It has space group P4/mmm (No. 123), with a = 5.736 Å, b = 5.736 Å, c = 5.948 Å, α = 90.00°, β = 90.00° and γ = 90.00°. The distinct sites, in fractional coordinates, are Mg at (0.000, 0.000, 0.000), Sb at (0.000, 0.500, 0.500), Pb at (0.500, 0.500, 0.500) and I at (0.500, 0.500, 0.000).

***

Going through the records in order, we get magnetic moment values of 0.0 0.0 0.0 0.3 0.0 2.8 0.0 0.0 0.0 5.0 0.0 3.5 4.6 0.0 2.6 0.0 0.0 0.0 0.0 0.9 μB per formula unit.
Going through the records in order, we get V values of 28.57 25.82 22.97 25.60 22.69 21.38 26.46 25.91 20.45 23.53 17.13 31.67 16.63 21.61 28.82 28.56 25.41 31.72 25.52 39.13 A^3/atom.
Going through the records in order, we get formation energy from raw total energies values of 0.31 0.18 -0.11 -0.83 -0.32 -0.08 -1.38 -0.07 -0.64 -0.08 -0.69 0.55 0.38 2.49 1.62 0.18 1.40 0.92 1.14 0.65 eV/atom.